# 1
A geometry-optimized HfCu2Bi structure, computed with PBE.

symmetry = F-43m (216)
total moment = 0.02 μB per formula unit
final energy = -20.2 eV per cell

abc: 4.719 4.719 4.719
angles: 60.00 60.00 60.00
Atoms (fractional coordinates):
Bi1 0.500 0.500 0.500
Cu1 0.000 0.000 0.000
Cu2 0.750 0.750 0.750
Hf1 0.250 0.250 0.250

---

# 2
A geometry-optimized BiIr15 structure, computed with PBE.

symmetry = P2/c (13)
total moment = 0.00 μB per formula unit
distance to the lowest polymorph of the same formula = 0.032 eV/atom
final energy = -270.0 eV per cell

abc: 4.733 35.896 4.735
angles: 90.00 109.49 90.00
Atoms (fractional coordinates):
Bi1 0.000 0.801 0.250
Bi2 0.000 0.199 0.750
Ir1 0.500 0.217 0.250
Ir2 0.000 0.252 0.250
Ir3 0.500 0.290 0.250
Ir4 0.000 0.328 0.250
Ir5 0.500 0.366 0.250
Ir6 0.000 0.404 0.250
Ir7 0.500 0.443 0.250
Ir8 0.000 0.481 0.250
Ir9 0.500 0.519 0.250
Ir10 0.000 0.558 0.250
Ir11 0.500 0.596 0.250
Ir12 0.000 0.633 0.250
Ir13 0.500 0.672 0.250
Ir14 0.000 0.710 0.250
Ir15 0.500 0.748 0.250
Ir16 0.500 0.252 0.750
Ir17 0.000 0.290 0.750
Ir18 0.500 0.328 0.750
Ir19 0.000 0.367 0.750
Ir20 0.500 0.404 0.750
Ir21 0.000 0.442 0.750
Ir22 0.500 0.481 0.750
Ir23 0.000 0.519 0.750
Ir24 0.500 0.557 0.750
Ir25 0.000 0.596 0.750
Ir26 0.500 0.634 0.750
Ir27 0.000 0.672 0.750
Ir28 0.500 0.710 0.750
Ir29 0.000 0.748 0.750
Ir30 0.500 0.783 0.750

---

# 3
A geometry-optimized Cs2Mg2Cd3 structure, computed with PBE.

symmetry = R3m (160)
final energy = -7.0 eV per cell

abc: 12.255 12.255 12.255
angles: 24.08 24.08 24.08
Atoms (fractional coordinates):
Cd1 0.350 0.350 0.350
Cd2 0.657 0.657 0.657
Cd3 0.853 0.853 0.853
Cs1 0.250 0.250 0.250
Cs2 0.756 0.756 0.756
Mg1 0.002 0.002 0.002
Mg2 0.507 0.507 0.507

---

# 4
A geometry-optimized Dy2Ho2CI2Br3 structure, computed with PBE.

symmetry = C2/m (12)
total moment = 0.01 μB per formula unit
distance to the lowest polymorph of the same formula = 0.000 eV/atom
final energy = -48.6 eV per cell

abc: 9.470 9.470 8.174
angles: 101.38 101.38 23.51
Atoms (fractional coordinates):
Br1 0.156 0.156 0.330
Br2 0.500 0.500 0.500
Br3 0.844 0.844 0.670
C1 0.500 0.500 0.000
Dy1 0.999 0.999 0.200
Dy2 0.001 0.001 0.800
Ho1 0.631 0.631 0.067
Ho2 0.369 0.369 0.933
I1 0.828 0.828 0.190
I2 0.172 0.172 0.810

---

# 5
A geometry-optimized LaHfB structure, computed with PBE.

symmetry = F-43m (216)
total moment = 0.00 μB per formula unit
distance to the lowest polymorph of the same formula = 1.342 eV/atom
final energy = -16.6 eV per cell

abc: 4.626 4.626 4.626
angles: 60.00 60.00 60.00
Atoms (fractional coordinates):
B1 0.250 0.250 0.250
Hf1 0.750 0.750 0.750
La1 0.000 0.000 0.000

---

# 6
A geometry-optimized Cs2NaSmI6 structure, computed with PBE.

symmetry = Fm-3m (225)
total moment = 0.00 μB per formula unit
final energy = -31.6 eV per cell

abc: 8.792 8.792 8.792
angles: 60.00 60.00 60.00
Atoms (fractional coordinates):
Cs1 0.250 0.250 0.250
Cs2 0.750 0.750 0.750
I1 0.753 0.247 0.247
I2 0.247 0.753 0.247
I3 0.753 0.753 0.247
I4 0.247 0.247 0.753
I5 0.753 0.247 0.753
I6 0.247 0.753 0.753
Na1 0.500 0.500 0.500
Sm1 0.000 0.000 0.000

---

# 7
A geometry-optimized NaLuBiIr structure, computed with PBE.

symmetry = F-43m (216)
total moment = 0.00 μB per formula unit
distance to the lowest polymorph of the same formula = 0.192 eV/atom
final energy = -19.3 eV per cell

abc: 4.978 4.978 4.978
angles: 60.00 60.00 60.00
Atoms (fractional coordinates):
Bi1 0.500 0.500 0.500
Ir1 0.000 0.000 0.000
Lu1 0.250 0.250 0.250
Na1 0.750 0.750 0.750

---

# 8
A geometry-optimized Pu2Ge5Pd3 structure, computed with PBE.

symmetry = Ibam (72)
total moment = 10.91 μB per formula unit
final energy = -145.3 eV per cell

abc: 8.508 8.508 8.508
angles: 105.51 89.56 137.76
Site moments in Bohr magnetons follow the coordinates.
Atoms (fractional coordinates):
Ge1 0.397 0.661 0.058  -0.02
Ge2 0.471 0.250 0.221  -0.02
Ge3 0.971 0.750 0.221  -0.02
Ge4 0.103 0.161 0.263  -0.02
Ge5 0.750 0.250 0.500  -0.02
Ge6 0.250 0.750 0.500  -0.02
Ge7 0.897 0.839 0.737  -0.02
Ge8 0.029 0.250 0.779  -0.02
Ge9 0.529 0.750 0.779  -0.02
Ge10 0.603 0.339 0.942  -0.02
Pd1 0.250 0.250 0.000  0.01
Pd2 0.750 0.750 0.000  0.01
Pd3 0.358 0.893 0.251  0.01
Pd4 0.858 0.607 0.465  0.01
Pd5 0.142 0.393 0.535  0.01
Pd6 0.642 0.107 0.749  0.01
Pu1 0.868 0.271 0.139  5.28
Pu2 0.632 0.771 0.403  5.28
Pu3 0.368 0.229 0.597  5.28
Pu4 0.132 0.729 0.861  5.28